# 1
Eu3Mg: relaxed, PBE-GGA.

Structure (CIF):
```
data_Eu3Mg
_chemical_formula_sum 'Eu6 Mg2'
_space_group_name_H-M_alt 'P 1'
_space_group_IT_number 1
_cell_length_a 7.5308
_cell_length_b 7.5308
_cell_length_c 6.0553
_cell_angle_alpha 90.00
_cell_angle_beta 90.00
_cell_angle_gamma 120.00
loop_
_space_group_symop_operation_xyz
'x,y,z'
loop_
_atom_site_label
_atom_site_type_symbol
_atom_site_fract_x
_atom_site_fract_y
_atom_site_fract_z
Eu1 Eu 0.8294 0.6587 0.7500
Mg1 Mg 0.6667 0.3333 0.2500
Eu2 Eu 0.3413 0.1706 0.7500
Eu3 Eu 0.1706 0.3413 0.2500
Eu4 Eu 0.1706 0.8294 0.2500
Mg2 Mg 0.3333 0.6667 0.7500
Eu5 Eu 0.6587 0.8294 0.2500
Eu6 Eu 0.8294 0.1706 0.7500
```

Summary:
- Calculated formation energy: -0.010 eV/atom
- E_tot: -64.91 eV for the cell shown
- Fermi-level density of states: 7.1 states/eV per cell



# 2
PmAl2GeOs2: relaxed, PBE-GGA.

Structure (CIF):
```
data_PmAl2GeOs2
_chemical_formula_sum 'Pm1 Al2 Ge1 Os2'
_space_group_name_H-M_alt 'P 1'
_space_group_IT_number 1
_cell_length_a 4.5663
_cell_length_b 4.5663
_cell_length_c 5.7142
_cell_angle_alpha 90.00
_cell_angle_beta 90.00
_cell_angle_gamma 90.00
loop_
_space_group_symop_operation_xyz
'x,y,z'
loop_
_atom_site_label
_atom_site_type_symbol
_atom_site_fract_x
_atom_site_fract_y
_atom_site_fract_z
Pm1 Pm 0.0000 0.0000 0.5000
Al1 Al 0.5000 0.5000 0.7401
Os1 Os 0.0000 0.5000 0.0000
Ge1 Ge 0.0000 0.0000 0.0000
Os2 Os 0.5000 0.0000 0.0000
Al2 Al 0.5000 0.5000 0.2599
```

Summary:
- Calculated formation energy: 0.001 eV/atom
- E_tot: -39.31 eV for the cell shown
- Fermi-level density of states: 4.6 states/eV per cell



# 3
Ce3GaRh4: relaxed, PBE-GGA.

Structure (CIF):
```
data_Ce3GaRh4
_chemical_formula_sum 'Ce6 Ga2 Rh8'
_space_group_name_H-M_alt 'P 1'
_space_group_IT_number 1
_cell_length_a 5.3571
_cell_length_b 5.4008
_cell_length_c 11.0675
_cell_angle_alpha 90.00
_cell_angle_beta 90.00
_cell_angle_gamma 90.00
loop_
_space_group_symop_operation_xyz
'x,y,z'
loop_
_atom_site_label
_atom_site_type_symbol
_atom_site_fract_x
_atom_site_fract_y
_atom_site_fract_z
Ga1 Ga 0.9349 0.3828 0.0000
Ce1 Ce 0.1188 0.7125 0.7517
Ce2 Ce 0.0850 0.1564 0.5000
Ce3 Ce 0.5850 0.8436 0.0000
Rh1 Rh 0.9301 0.6453 0.5000
Rh2 Rh 0.6228 0.7874 0.2938
Ce4 Ce 0.1188 0.7125 0.2483
Ga2 Ga 0.4349 0.6172 0.5000
Rh3 Rh 0.1228 0.2126 0.2062
Ce5 Ce 0.6188 0.2875 0.2517
Rh4 Rh 0.1228 0.2126 0.7938
Rh5 Rh 0.4301 0.3547 0.0000
Rh6 Rh 0.6228 0.7874 0.7062
Rh7 Rh 0.5820 0.1071 0.5000
Ce6 Ce 0.6188 0.2875 0.7483
Rh8 Rh 0.0820 0.8929 0.0000
```

Summary:
- Calculated formation energy: -0.751 eV/atom
- E_tot: -112.49 eV for the cell shown
- Fermi-level density of states: 16.6 states/eV per cell



# 4
Nd3Dy2Ho6In: relaxed, PBE-GGA.

Structure (CIF):
```
data_Nd3Dy2Ho6In
_chemical_formula_sum 'Nd3 Dy2 Ho6 In1'
_space_group_name_H-M_alt 'P 1'
_space_group_IT_number 1
_cell_length_a 6.1302
_cell_length_b 6.1302
_cell_length_c 11.6671
_cell_angle_alpha 95.04
_cell_angle_beta 95.04
_cell_angle_gamma 120.01
loop_
_space_group_symop_operation_xyz
'x,y,z'
loop_
_atom_site_label
_atom_site_type_symbol
_atom_site_fract_x
_atom_site_fract_y
_atom_site_fract_z
Ho1 Ho 0.5919 0.9196 0.7569
Nd1 Nd 0.5000 0.5000 0.5000
Dy1 Dy 0.6664 0.3336 0.0000
Ho2 Ho 0.2474 0.2474 0.7560
Dy2 Dy 0.3336 0.6664 0.0000
In1 In 0.0000 0.0000 0.0000
Ho3 Ho 0.7526 0.7526 0.2440
Ho4 Ho 0.0804 0.4081 0.2431
Ho5 Ho 0.9196 0.5919 0.7569
Ho6 Ho 0.4081 0.0804 0.2431
Nd2 Nd 0.1671 0.8329 0.5000
Nd3 Nd 0.8329 0.1671 0.5000
```

Summary:
- Calculated formation energy: -0.039 eV/atom
- E_tot: -54.19 eV for the cell shown
- Fermi-level density of states: 16.9 states/eV per cell



Repeat the third record exactly.
Ce3GaRh4: relaxed, PBE-GGA.

Structure (CIF):
```
data_Ce3GaRh4
_chemical_formula_sum 'Ce6 Ga2 Rh8'
_space_group_name_H-M_alt 'P 1'
_space_group_IT_number 1
_cell_length_a 5.3571
_cell_length_b 5.4008
_cell_length_c 11.0675
_cell_angle_alpha 90.00
_cell_angle_beta 90.00
_cell_angle_gamma 90.00
loop_
_space_group_symop_operation_xyz
'x,y,z'
loop_
_atom_site_label
_atom_site_type_symbol
_atom_site_fract_x
_atom_site_fract_y
_atom_site_fract_z
Ga1 Ga 0.9349 0.3828 0.0000
Ce1 Ce 0.1188 0.7125 0.7517
Ce2 Ce 0.0850 0.1564 0.5000
Ce3 Ce 0.5850 0.8436 0.0000
Rh1 Rh 0.9301 0.6453 0.5000
Rh2 Rh 0.6228 0.7874 0.2938
Ce4 Ce 0.1188 0.7125 0.2483
Ga2 Ga 0.4349 0.6172 0.5000
Rh3 Rh 0.1228 0.2126 0.2062
Ce5 Ce 0.6188 0.2875 0.2517
Rh4 Rh 0.1228 0.2126 0.7938
Rh5 Rh 0.4301 0.3547 0.0000
Rh6 Rh 0.6228 0.7874 0.7062
Rh7 Rh 0.5820 0.1071 0.5000
Ce6 Ce 0.6188 0.2875 0.7483
Rh8 Rh 0.0820 0.8929 0.0000
```

Summary:
- Calculated formation energy: -0.751 eV/atom
- E_tot: -112.49 eV for the cell shown
- Fermi-level density of states: 16.6 states/eV per cell



- Among the records above, which one has the lowest Fermi-level density of states?
  PmAl2GeOs2



Please write out number 3 again, unchanged.
Ce3GaRh4: relaxed, PBE-GGA.

Structure (CIF):
```
data_Ce3GaRh4
_chemical_formula_sum 'Ce6 Ga2 Rh8'
_space_group_name_H-M_alt 'P 1'
_space_group_IT_number 1
_cell_length_a 5.3571
_cell_length_b 5.4008
_cell_length_c 11.0675
_cell_angle_alpha 90.00
_cell_angle_beta 90.00
_cell_angle_gamma 90.00
loop_
_space_group_symop_operation_xyz
'x,y,z'
loop_
_atom_site_label
_atom_site_type_symbol
_atom_site_fract_x
_atom_site_fract_y
_atom_site_fract_z
Ga1 Ga 0.9349 0.3828 0.0000
Ce1 Ce 0.1188 0.7125 0.7517
Ce2 Ce 0.0850 0.1564 0.5000
Ce3 Ce 0.5850 0.8436 0.0000
Rh1 Rh 0.9301 0.6453 0.5000
Rh2 Rh 0.6228 0.7874 0.2938
Ce4 Ce 0.1188 0.7125 0.2483
Ga2 Ga 0.4349 0.6172 0.5000
Rh3 Rh 0.1228 0.2126 0.2062
Ce5 Ce 0.6188 0.2875 0.2517
Rh4 Rh 0.1228 0.2126 0.7938
Rh5 Rh 0.4301 0.3547 0.0000
Rh6 Rh 0.6228 0.7874 0.7062
Rh7 Rh 0.5820 0.1071 0.5000
Ce6 Ce 0.6188 0.2875 0.7483
Rh8 Rh 0.0820 0.8929 0.0000
```

Summary:
- Calculated formation energy: -0.751 eV/atom
- E_tot: -112.49 eV for the cell shown
- Fermi-level density of states: 16.6 states/eV per cell



- What is the E_tot in the third record?
  -112.49 eV for the cell shown